HfSbTe2Cl | PBE | relaxed

abc: 5.3474 5.3474 5.0588
angles: 90.00 90.00 90.00
Fractional coordinates of all 5 atoms:
Hf (0.0000, 0.0000, 0.0000)
Sb (0.5000, 0.5000, 0.0000)
Te (0.0000, 0.5000, 0.5000)
Te (0.5000, 0.0000, 0.5000)
Cl (0.5000, 0.5000, 0.5000)

Total moment = 0.00 μB/atom
Formation energy from raw total energies = 77.4 kJ per mole of atoms
SG = P4/mmm (123)
ΔE to the lowest computed polymorph = 867.1 meV/atom